1.
VASP calculation (PBE) on crystalline TaOs2Pd at its relaxed geometry.

The formation energy comes out at 0.6 eV per formula unit.

The space group is Fm-3m (No. 225) and the conventional cell measures 6.292, 6.292 and 6.292 Å, with angles of 90.00, 90.00 and 90.00 degrees. Symmetry generates all atoms from Ta at (0.000, 0.000, 0.000), Os at (0.250, 0.250, 0.250) and Pd at (0.000, 0.000, 0.500).

***

2.
VASP calculation (PBE) on crystalline TaOsPd3 at its relaxed geometry.

The formation energy comes out at 8.5 eV per formula unit.

The space group is Pm-3m (No. 221) and the conventional cell measures 4.726, 4.726 and 4.726 Å, with angles of 90.00, 90.00 and 90.00 degrees. Symmetry generates all atoms from Ta at (0.000, 0.000, 0.000), Os at (0.500, 0.500, 0.500) and Pd at (0.000, 0.500, 0.500).

***

3.
VASP calculation (PBE) on crystalline TaOs2Pd at its relaxed geometry.

The formation energy comes out at -0.8 eV per formula unit.

The space group is P4/mmm (No. 123) and the conventional cell measures 3.951, 3.951 and 3.895 Å, with angles of 90.00, 90.00 and 90.00 degrees. Symmetry generates all atoms from Ta at (0.000, 0.000, 0.000), Os at (0.000, 0.500, 0.500) and Pd at (0.500, 0.500, 0.000).

***

4.
VASP calculation (PBE) on crystalline TaOs2Pd2 at its relaxed geometry.

The formation energy comes out at 2.0 eV per formula unit.

The space group is P4/mbm (No. 127) and the conventional cell measures 7.518, 7.518 and 2.791 Å, with angles of 90.00, 90.00 and 90.00 degrees. Symmetry generates all atoms from Ta at (0.000, 0.000, 0.000), Os at (0.176, 0.324, 0.500) and Pd at (0.123, 0.623, 0.000).

***

Among the records above, which one has the highest formation energy?
TaOsPd3

***

Which value of formation energy does entry 4 give?
2.0 eV per formula unit